# 1
A relaxed AcSe2O8 crystal. Source: the Alexandria database, functional PBE.

Cell and atoms, written as POSCAR:
```
AcSe2O8
1.0
-0.138 6.465 0.874
-2.191 0.559 -4.475
-3.310 -2.833 4.076
Se O Ac
2 8 1
Direct
0.686 0.207 0.414
0.314 0.793 0.586
0.588 0.832 0.664
0.169 0.625 0.250
0.769 0.884 0.265
0.769 0.381 0.265
0.831 0.375 0.750
0.412 0.168 0.336
0.231 0.116 0.735
0.231 0.619 0.735
0.000 0.000 0.000
```

- uncorrected energy (eV per atom) = -5.7804
- symmetry = No. 12
- size of the total moment (μB/cell) = 1.0

# 2
A relaxed Ac4Se3O4 crystal. Source: the Alexandria database, functional PBE.

Cell and atoms, written as POSCAR:
```
Ac4Se3O4
1.0
-3.955 5.338 1.802
-3.803 -5.737 -0.120
5.099 -0.722 4.567
Ac O Se
4 4 3
Direct
0.000 0.000 0.652
0.348 0.348 0.348
0.652 0.000 0.000
0.000 0.652 0.000
0.722 0.722 0.722
0.000 0.000 0.278
0.278 0.000 0.000
0.000 0.278 0.000
0.500 0.500 0.000
0.000 0.500 0.500
0.500 0.000 0.500
```

- uncorrected energy (eV per atom) = -6.8033
- symmetry = No. 217
- size of the total moment (μB/cell) = 0.0

# 3
A relaxed Ac2SeO6 crystal. Source: the Alexandria database, functional PBE.

Cell and atoms, written as POSCAR:
```
Ac2SeO6
1.0
5.653 0.000 0.005
0.000 5.575 0.000
0.008 0.000 7.918
O Ac Se
12 4 2
Direct
0.772 0.230 0.519
0.272 0.270 0.019
0.726 0.268 0.981
0.536 0.500 0.229
0.964 0.000 0.271
0.228 0.770 0.481
0.274 0.732 0.019
0.226 0.232 0.481
0.774 0.768 0.519
0.036 0.000 0.729
0.464 0.500 0.771
0.728 0.730 0.981
0.000 0.501 0.249
0.500 0.001 0.251
0.000 0.499 0.751
0.500 0.999 0.749
0.500 0.500 0.000
0.000 0.000 0.500
```

- uncorrected energy (eV per atom) = -6.9073
- symmetry = No. 14
- size of the total moment (μB/cell) = 0.0